VASP calculation (PBE) on a relaxed structure of NdAl3Fe2.

Cell lengths 6.419, 6.419, 5.109 Å; angles 90.00, 90.00, 78.53 degrees
Atoms (fractional coordinates):
1 Nd 0.158 0.842 0.750
2 Nd 0.842 0.158 0.250
3 Al 0.034 0.574 0.250
4 Al 0.426 0.966 0.250
5 Al 0.453 0.547 0.250
6 Al 0.547 0.453 0.750
7 Al 0.574 0.034 0.750
8 Al 0.966 0.426 0.750
9 Fe 0.288 0.288 0.000
10 Fe 0.288 0.288 0.500
11 Fe 0.712 0.712 0.000
12 Fe 0.712 0.712 0.500

## Properties
N(E_F)	0.68	states/eV/atom
energy of formation	-2.1	eV/f.u.
magnetization	3.02	μB/f.u.
symmetry	Cmcm



VASP calculation (PBE) on a relaxed structure of NdAl9Fe2.

Cell lengths 8.250, 8.250, 8.250 Å; angles 99.80, 99.80, 131.26 degrees
Atoms (fractional coordinates):
1 Nd 0.375 0.625 0.750
2 Nd 0.625 0.375 0.250
3 Al 0.125 0.875 0.250
4 Al 0.142 0.571 0.326
5 Al 0.142 0.816 0.572
6 Al 0.184 0.255 0.326
7 Al 0.184 0.858 0.928
8 Al 0.255 0.184 0.826
9 Al 0.255 0.429 0.072
10 Al 0.429 0.255 0.572
11 Al 0.429 0.858 0.174
12 Al 0.571 0.142 0.826
13 Al 0.571 0.745 0.428
14 Al 0.745 0.571 0.928
15 Al 0.745 0.816 0.174
16 Al 0.816 0.142 0.072
17 Al 0.816 0.745 0.674
18 Al 0.858 0.184 0.428
19 Al 0.858 0.429 0.674
20 Al 0.875 0.125 0.750
21 Fe 0.000 0.000 0.000
22 Fe 0.000 0.000 0.500
23 Fe 0.000 0.500 0.000
24 Fe 0.500 0.000 0.500

## Properties
N(E_F)	0.58	states/eV/atom
energy of formation	-3.9	eV/f.u.
magnetization	0.00	μB/f.u.
symmetry	I4_1/amd



VASP calculation (PBE) on a relaxed structure of NdAl11Fe.

Cell lengths 6.795, 6.795, 7.186 Å; angles 97.19, 97.19, 135.30 degrees
Atoms (fractional coordinates):
1 Nd 0.000 0.000 0.000
2 Al 0.000 0.000 0.500
3 Al 0.000 0.500 0.000
4 Al 0.023 0.367 0.363
5 Al 0.283 0.499 0.766
6 Al 0.367 0.023 0.363
7 Al 0.499 0.283 0.766
8 Al 0.500 0.000 0.000
9 Al 0.501 0.717 0.234
10 Al 0.633 0.977 0.637
11 Al 0.717 0.501 0.234
12 Al 0.977 0.633 0.637
13 Fe 0.500 0.500 0.500

## Properties
N(E_F)	0.41	states/eV/atom
energy of formation	-2.6	eV/f.u.
magnetization	0.00	μB/f.u.
symmetry	C2/m



VASP calculation (PBE) on a relaxed structure of Nd3AlFe.

Cell lengths 5.204, 5.204, 5.204 Å; angles 90.00, 90.00, 90.00 degrees
Atoms (fractional coordinates):
1 Nd 0.000 0.000 0.500
2 Nd 0.000 0.500 0.000
3 Nd 0.500 0.000 0.000
4 Al 0.500 0.500 0.500
5 Fe 0.000 0.000 0.000

## Properties
N(E_F)	1.22	states/eV/atom
energy of formation	0.5	eV/f.u.
magnetization	0.37	μB/f.u.
symmetry	Pm-3m



VASP calculation (PBE) on a relaxed structure of Nd2AlFe.

Cell lengths 8.881, 8.881, 8.881 Å; angles 24.16, 24.16, 24.16 degrees
Atoms (fractional coordinates):
1 Nd 0.240 0.240 0.240
2 Nd 0.760 0.760 0.760
3 Al 0.000 0.000 0.000
4 Fe 0.500 0.500 0.500

## Properties
N(E_F)	1.14	states/eV/atom
energy of formation	0.9	eV/f.u.
magnetization	1.21	μB/f.u.
symmetry	R-3m



VASP calculation (PBE) on a relaxed structure of NdAl6Fe3.

Cell lengths 7.120, 7.120, 7.120 Å; angles 44.82, 44.82, 44.82 degrees
Atoms (fractional coordinates):
1 Nd 0.000 0.000 0.000
2 Al 0.104 0.600 0.600
3 Al 0.401 0.401 0.901
4 Al 0.401 0.901 0.401
5 Al 0.600 0.104 0.600
6 Al 0.600 0.600 0.104
7 Al 0.901 0.401 0.401
8 Fe 0.338 0.338 0.338
9 Fe 0.670 0.670 0.670
10 Fe 0.860 0.860 0.860

## Properties
N(E_F)	0.41	states/eV/atom
energy of formation	-2.2	eV/f.u.
magnetization	1.41	μB/f.u.
symmetry	R3m



VASP calculation (PBE) on a relaxed structure of Nd6AlFe13.

Cell lengths 12.936, 12.936, 12.936 Å; angles 143.79, 143.79, 52.14 degrees
Atoms (fractional coordinates):
1 Nd 0.021 0.521 0.169
2 Nd 0.106 0.106 0.000
3 Nd 0.148 0.979 0.500
4 Nd 0.352 0.852 0.831
5 Nd 0.394 0.394 0.000
6 Nd 0.479 0.648 0.500
7 Nd 0.521 0.352 0.500
8 Nd 0.606 0.606 0.000
9 Nd 0.648 0.148 0.169
10 Nd 0.852 0.021 0.500
11 Nd 0.894 0.894 0.000
12 Nd 0.979 0.479 0.831
13 Al 0.250 0.250 0.000
14 Al 0.750 0.750 0.000
15 Fe 0.000 0.500 0.500
16 Fe 0.019 0.293 0.500
17 Fe 0.066 0.210 0.276
18 Fe 0.120 0.620 0.858
19 Fe 0.207 0.481 0.500
20 Fe 0.210 0.934 0.144
21 Fe 0.238 0.738 0.858
22 Fe 0.262 0.120 0.500
23 Fe 0.290 0.434 0.724
24 Fe 0.293 0.793 0.274
25 Fe 0.380 0.238 0.500
26 Fe 0.434 0.710 0.144
27 Fe 0.481 0.981 0.274
28 Fe 0.500 0.000 0.500
29 Fe 0.519 0.019 0.726
30 Fe 0.566 0.290 0.856
31 Fe 0.620 0.762 0.500
32 Fe 0.707 0.207 0.726
33 Fe 0.710 0.566 0.276
34 Fe 0.738 0.880 0.500
35 Fe 0.762 0.262 0.142
36 Fe 0.790 0.066 0.856
37 Fe 0.793 0.519 0.500
38 Fe 0.880 0.380 0.142
39 Fe 0.934 0.790 0.724
40 Fe 0.981 0.707 0.500

## Properties
N(E_F)	1.04	states/eV/atom
energy of formation	-0.6	eV/f.u.
magnetization	26.58	μB/f.u.
symmetry	I4/mcm



VASP calculation (PBE) on a relaxed structure of NdAl2Fe9.

Cell lengths 8.176, 8.176, 4.781 Å; angles 90.00, 90.00, 90.00 degrees
Atoms (fractional coordinates):
1 Nd 0.000 0.000 0.000
2 Nd 0.500 0.500 0.000
3 Al 0.119 0.381 0.000
4 Al 0.381 0.881 0.000
5 Al 0.619 0.119 0.000
6 Al 0.881 0.619 0.000
7 Fe 0.000 0.500 0.500
8 Fe 0.068 0.216 0.500
9 Fe 0.176 0.676 0.240
10 Fe 0.176 0.676 0.760
11 Fe 0.216 0.932 0.500
12 Fe 0.284 0.432 0.500
13 Fe 0.324 0.176 0.240
14 Fe 0.324 0.176 0.760
15 Fe 0.432 0.716 0.500
16 Fe 0.500 0.000 0.500
17 Fe 0.568 0.284 0.500
18 Fe 0.676 0.824 0.240
19 Fe 0.676 0.824 0.760
20 Fe 0.716 0.568 0.500
21 Fe 0.784 0.068 0.500
22 Fe 0.824 0.324 0.240
23 Fe 0.824 0.324 0.760
24 Fe 0.932 0.784 0.500

## Properties
N(E_F)	1.50	states/eV/atom
energy of formation	-1.2	eV/f.u.
magnetization	15.15	μB/f.u.
symmetry	P4/mbm